BeCuP2 | PBE-GGA | optimized geometry

The density comes out at 3.7 Mg/m³. For the formation enthalpy at 0 K, the calculation gives 157 meV per atom. As for the total energy: -18.01 eV/f.u. The density of states at the Fermi level is 1.5 states/eV/f.u.

The structure belongs to space group Pm (No. 6); the cell edges are 2.5521, 3.6814 and 6.4795 Å and the angles 90.00°, 100.63° and 90.00°. The asymmetric unit holds Be at (0.0000, 0.0000, 0.0000), Cu at (0.5607, 0.5000, 0.1242), P at (0.6666, 0.0000, 0.3396) and P at (0.9032, 0.5000, 0.7926).